Material: BeRu5
Method: DFT, PBE
State: optimized geometry

ρ (g cm⁻³): 10.7
Calculated total energy (eV per cell): -99.52

Cell and atoms, written as CIF:
```
data_BeRu5
_chemical_formula_sum 'Be2 Ru10'
_symmetry_space_group_name_H-M 'A m m 2'
_symmetry_Int_Tables_number 38
_cell_length_a 4.257
_cell_length_b 2.738
_cell_length_c 13.705
_cell_angle_alpha 90.00
_cell_angle_beta 90.00
_cell_angle_gamma 90.00
loop_
_symmetry_equiv_pos_as_xyz
'x,y,z'
'-x,-y,z'
'-x,y,z'
'x,-y,z'
'x,y+1/2,z+1/2'
'-x,-y+1/2,z+1/2'
'-x,y+1/2,z+1/2'
'x,-y+1/2,z+1/2'
loop_
_atom_site_label
_atom_site_fract_x
_atom_site_fract_y
_atom_site_fract_z
_atom_site_occupancy
Be1 0.000 0.000 0.000 1
Ru1 0.000 0.000 0.332 1
Ru2 0.000 0.000 0.659 1
Ru3 0.500 0.000 0.216 1
Ru4 0.500 0.000 0.548 1
Ru5 0.500 0.000 0.889 1
```